1.
Computed, not measured: SmGaAu after structural relaxation at the PBE level of DFT.

a = 6.697 Å, b = 6.697 Å, c = 6.697 Å
α = 90.00°, β = 90.00°, γ = 90.00°
Space group F-43m (No. 216)
One atom of each set of equivalent atoms:
Sm  0.000  0.000  0.000
Ga  0.000  0.000  0.500
Au  0.250  0.250  0.250

2.
Computed, not measured: SmGaAu3 after structural relaxation at the PBE level of DFT.

a = 9.108 Å, b = 4.873 Å, c = 9.251 Å
α = 90.00°, β = 90.00°, γ = 90.00°
Space group Pnma (No. 62)
One atom of each set of equivalent atoms:
Sm  0.237  0.250  0.003
Ga  0.108  0.250  0.669
Au  0.076  0.250  0.390
Au  0.105  0.750  0.849
Au  0.107  0.750  0.161

3.
Computed, not measured: Sm3Ga3Au2 after structural relaxation at the PBE level of DFT.

a = 4.494 Å, b = 10.811 Å, c = 15.022 Å
α = 90.00°, β = 90.00°, γ = 90.00°
Space group Cmcm (No. 63)
One atom of each set of equivalent atoms:
Sm  0.000  0.095  0.109
Sm  0.000  0.367  0.250
Ga  0.000  0.348  0.750
Ga  0.000  0.390  0.037
Au  0.000  0.198  0.604

4.
Computed, not measured: Sm2Ga7Au after structural relaxation at the PBE level of DFT.

a = 4.342 Å, b = 4.342 Å, c = 10.605 Å
α = 90.00°, β = 90.00°, γ = 90.00°
Space group P-4m2 (No. 115)
One atom of each set of equivalent atoms:
Sm  0.000  0.500  0.246
Ga  0.000  0.000  0.000
Ga  0.000  0.000  0.500
Ga  0.000  0.500  0.635
Ga  0.000  0.500  0.864
Ga  0.500  0.500  0.500
Au  0.500  0.500  0.000

5.
Computed, not measured: Sm5Ga4Au after structural relaxation at the PBE level of DFT.

a = 3.635 Å, b = 3.635 Å, c = 18.480 Å
α = 90.00°, β = 90.00°, γ = 90.00°
Space group P4/mmm (No. 123)
One atom of each set of equivalent atoms:
Sm  0.000  0.000  0.000
Sm  0.000  0.000  0.198
Sm  0.000  0.000  0.398
Ga  0.500  0.500  0.099
Ga  0.500  0.500  0.298
Au  0.500  0.500  0.500

6.
Computed, not measured: Sm3Ga2Au9 after structural relaxation at the PBE level of DFT.

a = 4.259 Å, b = 10.780 Å, c = 12.906 Å
α = 90.00°, β = 90.00°, γ = 90.00°
Space group Immm (No. 71)
One atom of each set of equivalent atoms:
Sm  0.000  0.000  0.000
Sm  0.000  0.000  0.298
Ga  0.000  0.189  0.500
Au  0.000  0.294  0.136
Au  0.000  0.373  0.353
Au  0.000  0.500  0.000

7.
Computed, not measured: SmGa5Au7 after structural relaxation at the PBE level of DFT.

a = 5.647 Å, b = 9.412 Å, c = 9.122 Å
α = 90.00°, β = 90.00°, γ = 90.00°
Space group Imm2 (No. 44)
One atom of each set of equivalent atoms:
Sm  0.000  0.000  0.000
Ga  0.000  0.500  0.253
Ga  0.243  0.256  0.738
Au  0.000  0.000  0.334
Au  0.000  0.000  0.674
Au  0.000  0.305  0.475
Au  0.000  0.336  0.002
Au  0.000  0.500  0.719

8.
Computed, not measured: Sm6GaAu5 after structural relaxation at the PBE level of DFT.

a = 5.176 Å, b = 7.376 Å, c = 8.219 Å
α = 90.00°, β = 108.37°, γ = 90.00°
Space group P2/m (No. 10)
One atom of each set of equivalent atoms:
Sm  0.000  0.245  0.000
Sm  0.334  0.251  0.665
Ga  0.500  0.500  0.000
Au  0.155  0.500  0.315
Au  0.167  0.000  0.338
Au  0.500  0.000  0.000

Looking at DFT formation energy for the records above, in order, we have -604.1; -601.0; -741.9; -476.4; -607.7; -574.1; -296.2; -753.4 meV/atom.
Looking at electronic total energy for the records above, in order, we have -51.34; -82.33; -142.91; -38.67; -45.06; -115.49; -93.29; -56.77 eV/cell.